Entry from Alexandria via LeMat-Bulk: BaMnTl2O after structural relaxation (GGA+U).

Geometry as CIF:
```
data_BaMnTl2O
_cell_length_a 5.078
_cell_length_b 5.078
_cell_length_c 6.935
_cell_angle_alpha 90.00
_cell_angle_beta 90.00
_cell_angle_gamma 90.00
_symmetry_space_group_name_H-M 'P 4/m m m'
_symmetry_Int_Tables_number 123
_symmetry_space_group_name_Hall '-P 4 2'
loop_
_atom_site_label
_atom_site_type_symbol
_atom_site_fract_x
_atom_site_fract_y
_atom_site_fract_z
Ba1 Ba 0.000 0.000 0.000
Mn1 Mn 0.000 0.000 0.500
Tl1 Tl 0.000 0.500 0.500
O1 O 0.500 0.500 0.000
```

Electronic total energy = -17.26 eV for the cell shown